Below is a geometry-optimized Ta3RhSe structure, with properties calculated at the PBE level.

CIF file:
```
data_Ta3RhSe
_chemical_formula_sum 'Ta3 Rh1 Se1'
_cell_length_a 4.660
_cell_length_b 4.660
_cell_length_c 4.660
_cell_angle_alpha 90.00
_cell_angle_beta 90.00
_cell_angle_gamma 90.00
_symmetry_space_group_name_H-M 'P m -3 m'
_symmetry_Int_Tables_number 221
_symmetry_space_group_name_Hall '-P 4 2 3'
loop_
_atom_site_label
_atom_site_fract_x
_atom_site_fract_y
_atom_site_fract_z
Ta1 0.000 0.000 0.500
Rh1 0.500 0.500 0.500
Se1 0.000 0.000 0.000
```

Crystal system: cubic
Calculated volume (Å³ per cell): 101.2
Electronic total energy (eV per atom): -8.27
ΔE_f (raw) (eV/f.u.): 5.03
ΔE to the lowest computed polymorph (eV/f.u.): 0.00

***

Below is a geometry-optimized PmTlGaPd structure, with properties calculated at the PBE level.

CIF file:
```
data_PmTlGaPd
_chemical_formula_sum 'Pm4 Tl4 Ga4 Pd4'
_cell_length_a 7.046
_cell_length_b 7.046
_cell_length_c 7.046
_cell_angle_alpha 90.00
_cell_angle_beta 90.00
_cell_angle_gamma 90.00
_symmetry_space_group_name_H-M 'F -4 3 m'
_symmetry_Int_Tables_number 216
_symmetry_space_group_name_Hall 'F -4 2 3'
loop_
_atom_site_label
_atom_site_fract_x
_atom_site_fract_y
_atom_site_fract_z
Pm1 0.000 0.000 0.000
Tl1 0.000 0.000 0.500
Ga1 0.250 0.250 0.750
Pd1 0.250 0.250 0.250
```

Crystal system: cubic
Calculated volume (Å³ per cell): 349.8
Electronic total energy (eV per atom): -4.30

***

Below is a geometry-optimized NpTi2Ga structure, with properties calculated at the PBE level.

CIF file:
```
data_NpTi2Ga
_chemical_formula_sum 'Np1 Ti2 Ga1'
_cell_length_a 2.786
_cell_length_b 2.786
_cell_length_c 8.782
_cell_angle_alpha 90.00
_cell_angle_beta 90.00
_cell_angle_gamma 90.00
_symmetry_space_group_name_H-M 'P 4/m m m'
_symmetry_Int_Tables_number 123
_symmetry_space_group_name_Hall '-P 4 2'
loop_
_atom_site_label
_atom_site_fract_x
_atom_site_fract_y
_atom_site_fract_z
Np1 0.000 0.000 0.000
Ti1 0.500 0.500 0.272
Ga1 0.000 0.000 0.500
```

Crystal system: tetragonal
Calculated volume (Å³ per cell): 68.2
Electronic total energy (eV per atom): -8.00
ΔE to the lowest computed polymorph (eV/f.u.): 0.01

***

Below is a geometry-optimized CeTh2Fe structure, with properties calculated at the PBE level.

CIF file:
```
data_CeTh2Fe
_chemical_formula_sum 'Ce3 Th6 Fe3'
_cell_length_a 3.8248
_cell_length_b 3.8248
_cell_length_c 26.5351
_cell_angle_alpha 90.00
_cell_angle_beta 90.00
_cell_angle_gamma 120.00
_symmetry_space_group_name_H-M 'R 3 m'
_symmetry_Int_Tables_number 160
_symmetry_space_group_name_Hall 'R 3 -2"'
loop_
_atom_site_label
_atom_site_fract_x
_atom_site_fract_y
_atom_site_fract_z
Ce1 0.0000 0.0000 0.0000
Th1 0.0000 0.0000 0.5573
Th2 0.0000 0.0000 0.7748
Fe1 0.0000 0.0000 0.1636
```

Crystal system: trigonal
Calculated volume (Å³ per cell): 336.2
Electronic total energy (eV per atom): -7.21
ΔE to the lowest computed polymorph (eV/f.u.): 0.74

***

Below is a geometry-optimized Re2BiO structure, with properties calculated at the PBE level.

CIF file:
```
data_Re2BiO
_chemical_formula_sum 'Re8 Bi4 O4'
_cell_length_a 6.331
_cell_length_b 6.331
_cell_length_c 6.331
_cell_angle_alpha 90.00
_cell_angle_beta 90.00
_cell_angle_gamma 90.00
_symmetry_space_group_name_H-M 'F m -3 m'
_symmetry_Int_Tables_number 225
_symmetry_space_group_name_Hall '-F 4 2 3'
loop_
_atom_site_label
_atom_site_fract_x
_atom_site_fract_y
_atom_site_fract_z
Re1 0.250 0.250 0.250
Bi1 0.000 0.000 0.000
O1 0.000 0.000 0.500
```

Crystal system: cubic
Calculated volume (Å³ per cell): 253.8
Electronic total energy (eV per atom): -7.09
ΔE_f (raw) (eV/f.u.): 5.39
ΔE to the lowest computed polymorph (eV/f.u.): 3.25

***

Below is a geometry-optimized LiAg3Au12 structure, with properties calculated at the PBE level.

CIF file:
```
data_LiAg3Au12
_chemical_formula_sum 'Li1 Ag3 Au12'
_cell_length_a 4.126
_cell_length_b 4.126
_cell_length_c 16.621
_cell_angle_alpha 90.00
_cell_angle_beta 90.00
_cell_angle_gamma 90.00
_symmetry_space_group_name_H-M 'P 4/m m m'
_symmetry_Int_Tables_number 123
_symmetry_space_group_name_Hall '-P 4 2'
loop_
_atom_site_label
_atom_site_fract_x
_atom_site_fract_y
_atom_site_fract_z
Li1 0.000 0.000 0.000
Ag1 0.000 0.000 0.248
Ag2 0.000 0.000 0.500
Au1 0.000 0.500 0.120
Au2 0.000 0.500 0.373
Au3 0.500 0.500 0.000
Au4 0.500 0.500 0.246
Au5 0.500 0.500 0.500
```

Crystal system: tetragonal
Calculated volume (Å³ per cell): 283.0
Electronic total energy (eV per atom): -3.22

***

Below is a geometry-optimized UPd6Rh structure, with properties calculated at the PBE level.

CIF file:
```
data_UPd6Rh
_chemical_formula_sum 'U1 Pd6 Rh1'
_cell_length_a 5.687
_cell_length_b 5.687
_cell_length_c 4.015
_cell_angle_alpha 90.00
_cell_angle_beta 90.00
_cell_angle_gamma 90.00
_symmetry_space_group_name_H-M 'P 4/m m m'
_symmetry_Int_Tables_number 123
_symmetry_space_group_name_Hall '-P 4 2'
loop_
_atom_site_label
_atom_site_fract_x
_atom_site_fract_y
_atom_site_fract_z
U1 0.000 0.000 0.000
Pd1 0.000 0.500 0.000
Pd2 0.251 0.251 0.500
Rh1 0.500 0.500 0.000
```

Crystal system: tetragonal
Calculated volume (Å³ per cell): 129.8
Electronic total energy (eV per atom): -6.50

***

Below is a geometry-optimized MgAl3V structure, with properties calculated at the PBE level.

CIF file:
```
data_MgAl3V
_chemical_formula_sum 'Mg1 Al3 V1'
_cell_length_a 4.786
_cell_length_b 4.786
_cell_length_c 4.786
_cell_angle_alpha 90.00
_cell_angle_beta 90.00
_cell_angle_gamma 90.00
_symmetry_space_group_name_H-M 'P m -3 m'
_symmetry_Int_Tables_number 221
_symmetry_space_group_name_Hall '-P 4 2 3'
loop_
_atom_site_label
_atom_site_fract_x
_atom_site_fract_y
_atom_site_fract_z
Mg1 0.000 0.000 0.000
Al1 0.000 0.500 0.500
V1 0.500 0.500 0.500
```

Crystal system: cubic
Calculated volume (Å³ per cell): 109.6
Electronic total energy (eV per atom): -3.85
ΔE to the lowest computed polymorph (eV/f.u.): 0.00

***

Below is a geometry-optimized ThTcI structure, with properties calculated at the PBE level.

CIF file:
```
data_ThTcI
_chemical_formula_sum 'Th4 Tc4 I4'
_cell_length_a 7.305
_cell_length_b 4.216
_cell_length_c 12.860
_cell_angle_alpha 90.00
_cell_angle_beta 101.14
_cell_angle_gamma 90.00
_symmetry_space_group_name_H-M 'C 1 2/m 1'
_symmetry_Int_Tables_number 12
_symmetry_space_group_name_Hall '-C 2y'
loop_
_atom_site_label
_atom_site_fract_x
_atom_site_fract_y
_atom_site_fract_z
Th1 0.055 0.000 0.161
Tc1 0.158 0.500 0.976
I1 0.217 0.000 0.658
```

Crystal system: monoclinic
Calculated volume (Å³ per cell): 388.6
Electronic total energy (eV per atom): -7.11
ΔE_f (raw) (eV/f.u.): -1.99

***

Below is a geometry-optimized Ir4RuRh structure, with properties calculated at the PBE level.

CIF file:
```
data_Ir4RuRh
_chemical_formula_sum 'Ir4 Ru1 Rh1'
_cell_length_a 2.727
_cell_length_b 3.857
_cell_length_c 8.191
_cell_angle_alpha 90.00
_cell_angle_beta 90.00
_cell_angle_gamma 90.00
_symmetry_space_group_name_H-M 'P m m m'
_symmetry_Int_Tables_number 47
_symmetry_space_group_name_Hall '-P 2 2'
loop_
_atom_site_label
_atom_site_fract_x
_atom_site_fract_y
_atom_site_fract_z
Ir1 0.000 0.000 0.165
Ir2 0.500 0.500 0.331
Ru1 0.500 0.500 0.000
Rh1 0.000 0.000 0.500
```

Crystal system: orthorhombic
Calculated volume (Å³ per cell): 86.2
Electronic total energy (eV per atom): -8.70
ΔE to the lowest computed polymorph (eV/f.u.): 0.00

***

Below is a geometry-optimized MoIr2I structure, with properties calculated at the PBE level.

CIF file:
```
data_MoIr2I
_chemical_formula_sum 'Mo4 Ir8 I4'
_cell_length_a 6.325
_cell_length_b 6.325
_cell_length_c 9.696
_cell_angle_alpha 90.00
_cell_angle_beta 90.00
_cell_angle_gamma 90.00
_symmetry_space_group_name_H-M 'I -4 2 d'
_symmetry_Int_Tables_number 122
_symmetry_space_group_name_Hall 'I -4 2bw'
loop_
_atom_site_label
_atom_site_fract_x
_atom_site_fract_y
_atom_site_fract_z
Mo1 0.000 0.000 0.000
Ir1 0.217 0.250 0.125
I1 0.000 0.000 0.500
```

Crystal system: tetragonal
Calculated volume (Å³ per cell): 387.9
Electronic total energy (eV per atom): -6.64
ΔE_f (raw) (eV/f.u.): 3.54

***

Below is a geometry-optimized CrPtAu structure, with properties calculated at the PBE level.

CIF file:
```
data_CrPtAu
_chemical_formula_sum 'Cr2 Pt2 Au2'
_cell_length_a 2.909
_cell_length_b 3.667
_cell_length_c 8.953
_cell_angle_alpha 90.00
_cell_angle_beta 90.00
_cell_angle_gamma 90.00
_symmetry_space_group_name_H-M 'I m m 2'
_symmetry_Int_Tables_number 44
_symmetry_space_group_name_Hall 'I 2 -2'
loop_
_atom_site_label
_atom_site_fract_x
_atom_site_fract_y
_atom_site_fract_z
Cr1 0.000 0.000 0.000
Pt1 0.000 0.000 0.643
Au1 0.000 0.000 0.328
```

Crystal system: orthorhombic
Calculated volume (Å³ per cell): 95.5
Electronic total energy (eV per atom): -6.32
ΔE to the lowest computed polymorph (eV/f.u.): 0.00

***

Repeat the ninth record exactly.
Below is a geometry-optimized ThTcI structure, with properties calculated at the PBE level.

CIF file:
```
data_ThTcI
_chemical_formula_sum 'Th4 Tc4 I4'
_cell_length_a 7.305
_cell_length_b 4.216
_cell_length_c 12.860
_cell_angle_alpha 90.00
_cell_angle_beta 101.14
_cell_angle_gamma 90.00
_symmetry_space_group_name_H-M 'C 1 2/m 1'
_symmetry_Int_Tables_number 12
_symmetry_space_group_name_Hall '-C 2y'
loop_
_atom_site_label
_atom_site_fract_x
_atom_site_fract_y
_atom_site_fract_z
Th1 0.055 0.000 0.161
Tc1 0.158 0.500 0.976
I1 0.217 0.000 0.658
```

Crystal system: monoclinic
Calculated volume (Å³ per cell): 388.6
Electronic total energy (eV per atom): -7.11
ΔE_f (raw) (eV/f.u.): -1.99

***

- What is the calculated volume in the second record?
  349.8 Å³ per cell

***

- Among the records above, which one has the lowest calculated volume?
  NpTi2Ga